A plane-wave DFT calculation with PBE-GGA was carried out for an optimized crystal structure of Sr8SnPb3O16.

abc: 6.0209 6.0209 12.7068
angles: 90.00 90.00 90.00
Positions (direct):
O (0.5000, 0.5000, 0.1685)
O (0.5000, 0.0000, 0.6712)
O (0.7494, 0.2506, 0.5000)
O (0.7562, 0.2438, 0.0000)
O (0.2438, 0.2438, 0.0000)
O (0.2506, 0.2506, 0.5000)
O (0.7494, 0.7494, 0.5000)
O (0.5000, 0.0000, 0.3288)
O (0.0000, 0.0000, 0.8361)
O (0.5000, 0.5000, 0.8315)
O (0.0000, 0.5000, 0.6712)
O (0.0000, 0.5000, 0.3288)
O (0.2438, 0.7562, 0.0000)
O (0.2506, 0.7494, 0.5000)
O (0.0000, 0.0000, 0.1639)
O (0.7562, 0.7562, 0.0000)
Sr (0.0000, 0.0000, 0.6481)
Sr (0.0000, 0.0000, 0.3519)
Sr (0.0000, 0.5000, 0.8572)
Sr (0.5000, 0.0000, 0.8572)
Sr (0.5000, 0.5000, 0.3550)
Sr (0.5000, 0.5000, 0.6450)
Sr (0.5000, 0.0000, 0.1428)
Sr (0.0000, 0.5000, 0.1428)
Pb (0.5000, 0.0000, 0.5000)
Pb (0.5000, 0.5000, 0.0000)
Pb (0.0000, 0.5000, 0.5000)
Sn (0.0000, 0.0000, 0.0000)

Calculated values
The formation energy without anion corrections is -2.07 eV per atom. As for the crystal system: tetragonal. The value obtained for the total magnetization is 0.00 Bohr magnetons per cell. The calculated volume is 16.45 Å³ per atom. As for the space group: P4/mmm.



A plane-wave DFT calculation with PBE-GGA was carried out for an optimized crystal structure of InTe2Br2.

abc: 8.1368 8.1368 5.1220
angles: 90.00 90.00 90.00
Positions (direct):
In (0.0000, 0.0000, 0.0000)
In (0.5000, 0.5000, 0.0000)
Te (0.6165, 0.1165, 0.0000)
Te (0.1165, 0.3835, 0.0000)
Te (0.3835, 0.8835, 0.0000)
Te (0.8835, 0.6165, 0.0000)
Br (0.2742, 0.2258, 0.5000)
Br (0.7742, 0.2742, 0.5000)
Br (0.2258, 0.7258, 0.5000)
Br (0.7258, 0.7742, 0.5000)

Calculated values
The formation energy without anion corrections is -0.08 eV per atom. As for the crystal system: tetragonal. The value obtained for the total magnetization is 0.00 Bohr magnetons per cell. The calculated volume is 33.91 Å³ per atom. As for the space group: P4/mbm.



A plane-wave DFT calculation with PBE-GGA was carried out for an optimized crystal structure of LaTa2GaAg.

abc: 4.9647 5.6707 4.9647
angles: 90.00 90.00 90.00
Last column: magnetic moment on the atom in μB.
Positions (direct):
Ga (0.0000, 0.0000, 0.0000)  0.05
Ag (0.5000, 0.5000, 0.5000)  0.02
Ta (0.0000, 0.0000, 0.5000)  0.55
Ta (0.5000, 0.0000, 0.0000)  0.66
La (0.0000, 0.5000, 0.0000)  0.10

Calculated values
The calculated total energy is -29.047 eV/f.u. As for the crystal system: tetragonal. The value obtained for the total magnetization is 2.32 Bohr magnetons per cell. The calculated volume is 27.95 Å³ per atom. As for the space group: P4/mmm.